(1)
Entry from Alexandria: a relaxed structure of CrIn2Au (PBE-GGA).

a b c (Å): 8.957 8.957 8.957
angles (deg): 21.38 21.38 21.38
Element x y z (fractional)
Cr 0.750 0.750 0.750
In 0.999 0.999 0.999
Au 0.250 0.250 0.250
In 0.501 0.501 0.501

* relative energy among the computed polymorphs: 0.101 eV/atom
* DFT formation energy: 0.217 eV per atom
* total moment: 3.9 μB/f.u.

***

(2)
Entry from Alexandria: a relaxed structure of ZnCrI4 (PBE-GGA).

a b c (Å): 4.145 7.530 7.031
angles (deg): 98.20 90.00 90.00
Element x y z (fractional)
Zn 0.000 0.000 0.000
I 0.500 0.783 0.792
I 0.500 0.217 0.208
I 0.000 0.783 0.294
Cr 0.500 0.000 0.500
I 0.000 0.217 0.706

* uncorrected formation energy: -0.368 eV per atom
* total moment: 4.0 μB/f.u.

***

(3)
Entry from Alexandria: a relaxed structure of TmHfCdAg (PBE-GGA).

a b c (Å): 5.013 5.013 5.013
angles (deg): 60.00 60.00 60.00
Element x y z (fractional)
Hf 0.000 0.000 0.000
Ag 0.750 0.750 0.750
Cd 0.250 0.250 0.250
Tm 0.500 0.500 0.500

* DFT formation energy: -0.044 eV per atom
* total moment: 0.8 μB/f.u.

***

(4)
Entry from Alexandria: a relaxed structure of Ga12Te3S5 (PBE-GGA).

a b c (Å): 14.264 14.264 14.264
angles (deg): 109.47 109.47 109.47
Element x y z (fractional)
Te 0.750 0.375 0.125
Te 0.375 0.625 0.250
Ga 0.920 0.828 0.785
S 0.250 0.875 0.125
Ga 0.865 0.580 0.908
S 0.375 0.125 0.750
Ga 0.092 0.172 0.457
S 0.750 0.625 0.375
Te 0.250 0.125 0.375
S 0.000 0.000 0.000
Ga 0.908 0.828 0.543
S 0.000 0.500 0.000
Ga 0.908 0.080 0.865
S 0.250 0.375 0.625
S 0.875 0.250 0.625
Ga 0.328 0.543 0.408
Ga 0.580 0.865 0.408
Ga 0.957 0.592 0.172
Ga 0.543 0.215 0.135
S 0.375 0.250 0.125
Ga 0.285 0.420 0.828
Te 0.625 0.375 0.750
Ga 0.080 0.908 0.365
Ga 0.408 0.043 0.328
S 0.500 0.500 0.000
Ga 0.672 0.215 0.580
Ga 0.420 0.135 0.592
Ga 0.172 0.092 0.957
Ga 0.365 0.408 0.080
Ga 0.215 0.543 0.635
Te 0.250 0.625 0.875
Ga 0.080 0.172 0.215
Ga 0.828 0.908 0.043
Ga 0.635 0.043 0.215
Ga 0.172 0.080 0.715
Ga 0.285 0.865 0.957
Te 0.375 0.750 0.625
Ga 0.635 0.592 0.920
Ga 0.457 0.785 0.865
S 0.000 0.000 0.500
Ga 0.215 0.672 0.080
Te 0.125 0.250 0.875
S 0.500 0.000 0.000
Ga 0.592 0.635 0.420
Ga 0.785 0.328 0.920
Ga 0.957 0.365 0.285
Ga 0.135 0.715 0.543
Ga 0.715 0.135 0.043
Ga 0.580 0.715 0.672
Ga 0.592 0.957 0.672
Te 0.875 0.125 0.250
Ga 0.920 0.092 0.635
S 0.500 0.000 0.500
S 0.000 0.500 0.500
Ga 0.043 0.635 0.715
Ga 0.365 0.957 0.785
Ga 0.420 0.285 0.328
Ga 0.457 0.672 0.092
S 0.625 0.750 0.875
Ga 0.135 0.420 0.092
Te 0.750 0.875 0.625
Ga 0.865 0.285 0.457
S 0.500 0.500 0.500
Ga 0.092 0.920 0.135
Te 0.875 0.750 0.125
S 0.125 0.375 0.250
Te 0.125 0.875 0.750
S 0.125 0.750 0.375
Ga 0.715 0.580 0.172
S 0.875 0.625 0.750
Ga 0.043 0.408 0.828
S 0.750 0.125 0.875
Ga 0.408 0.365 0.580
S 0.625 0.875 0.250
Ga 0.328 0.785 0.420
Te 0.625 0.250 0.375
Ga 0.543 0.328 0.908
Ga 0.785 0.457 0.365
Ga 0.828 0.920 0.285
Ga 0.672 0.457 0.592

* uncorrected formation energy: -0.074 eV per atom
* total moment: 0.0 μB/f.u.

***

(5)
Entry from Alexandria: a relaxed structure of Pb2Au3 (PBE-GGA).

a b c (Å): 6.060 5.856 8.287
angles (deg): 79.09 68.55 58.84
Element x y z (fractional)
Pb 0.638 0.845 0.398
Pb 0.233 0.655 0.898
Au 0.360 0.500 0.500
Au 0.818 0.623 0.741
Au 0.610 0.000 0.000
Au 0.310 0.123 0.759
Pb 0.785 0.345 0.102
Au 0.183 0.377 0.259
Pb 0.881 0.155 0.602
Au 0.192 0.877 0.241

* relative energy among the computed polymorphs: 0.000 eV/atom
* DFT formation energy: -0.068 eV per atom
* total moment: 0.0 μB/f.u.

***

(6)
Entry from Alexandria: a relaxed structure of ZrInCu2 (PBE-GGA).

a b c (Å): 3.165 3.165 6.859
angles (deg): 90.00 90.00 89.97
Element x y z (fractional)
In 0.000 0.000 0.464
Zr 0.500 0.500 0.784
Cu 0.000 0.000 0.038
Cu 0.500 0.500 0.214

* DFT formation energy: -0.084 eV per atom
* total moment: 0.0 μB/f.u.

***

(7)
Entry from Alexandria: a relaxed structure of ZrRe2SeBr (PBE-GGA).

a b c (Å): 4.578 4.985 4.578
angles (deg): 90.00 90.00 90.00
Element x y z (fractional)
Zr 0.000 0.500 0.000
Br 0.000 0.000 0.000
Re 0.000 0.000 0.500
Re 0.500 0.000 0.000
Se 0.500 0.500 0.500

* uncorrected formation energy: 1.675 eV per atom
* total moment: 0.0 μB/f.u.

***

(8)
Entry from Alexandria: a relaxed structure of Ti2MnV (PBE-GGA).

a b c (Å): 3.061 4.324 4.324
angles (deg): 90.00 90.00 90.00
Element x y z (fractional)
Ti 0.000 0.500 0.000
Mn 0.500 0.000 0.000
V 0.500 0.500 0.500
Ti 0.000 0.000 0.500

* relative energy among the computed polymorphs: 0.031 eV/atom
* DFT formation energy: -0.031 eV per atom
* total moment: 1.3 μB/f.u.

***

(9)
Entry from Alexandria: a relaxed structure of NiAsAuBr2 (PBE-GGA).

a b c (Å): 5.327 5.327 5.052
angles (deg): 90.00 90.00 90.00
Element x y z (fractional)
Br 0.000 0.500 0.000
As 0.000 0.000 0.500
Ni 0.500 0.500 0.500
Br 0.500 0.000 0.000
Au 0.000 0.000 0.000

* relative energy among the computed polymorphs: 0.511 eV/atom
* uncorrected formation energy: 0.948 eV per atom
* total moment: 2.2 μB/f.u.

***

(10)
Entry from Alexandria: a relaxed structure of LaHf (PBE-GGA).

a b c (Å): 6.734 6.734 6.734
angles (deg): 90.00 90.00 90.00
Element x y z (fractional)
Hf 0.500 0.000 0.500
Hf 0.500 0.500 0.000
La 0.250 0.250 0.250
La 0.750 0.750 0.250
Hf 0.000 0.500 0.500
La 0.250 0.750 0.750
La 0.750 0.250 0.750
Hf 0.000 0.000 0.000

* relative energy among the computed polymorphs: 1.780 eV/atom
* DFT formation energy: 1.976 eV per atom
* total moment: 0.0 μB/f.u.

***

(11)
Entry from Alexandria: a relaxed structure of Ho4PuSc5 (PBE-GGA).

a b c (Å): 5.486 7.639 7.639
angles (deg): 82.59 68.96 68.96
Element x y z (fractional)
Ho 0.228 0.316 0.316
Ho 0.861 0.684 0.684
Pu 0.820 0.000 0.000
Sc 0.857 0.000 0.369
Ho 0.545 0.684 0.316
Sc 0.226 0.000 0.631
Ho 0.545 0.316 0.684
Sc 0.226 0.631 0.000
Sc 0.857 0.369 0.000
Sc 0.345 0.000 0.000

* DFT formation energy: 0.215 eV per atom
* total moment: 6.6 μB/f.u.

***

(12)
Entry from Alexandria: a relaxed structure of CuPbNO2 (PBE-GGA).

a b c (Å): 4.196 4.196 4.325
angles (deg): 90.00 90.00 90.00
Element x y z (fractional)
Pb 0.000 0.000 0.000
Cu 0.500 0.500 0.500
N 0.000 0.000 0.500
O 0.000 0.500 0.000
O 0.500 0.000 0.000

* uncorrected formation energy: 0.986 eV per atom
* total moment: 0.0 μB/f.u.

***

(13)
Entry from Alexandria: a relaxed structure of SrTl6Pb12 (PBE-GGA).

a b c (Å): 8.494 8.494 8.494
angles (deg): 89.47 90.53 90.53
Element x y z (fractional)
Pb 0.550 0.527 0.792
Tl 0.270 0.276 0.884
Tl 0.884 0.270 0.724
Pb 0.965 0.376 0.167
Pb 0.624 0.167 0.035
Pb 0.450 0.473 0.208
Pb 0.376 0.833 0.965
Tl 0.724 0.884 0.730
Pb 0.833 0.035 0.376
Pb 0.473 0.792 0.450
Sr 0.000 0.000 0.000
Pb 0.792 0.550 0.473
Pb 0.208 0.450 0.527
Pb 0.035 0.624 0.833
Pb 0.167 0.965 0.624
Tl 0.276 0.116 0.270
Pb 0.527 0.208 0.550
Tl 0.730 0.724 0.116
Tl 0.116 0.730 0.276

* DFT formation energy: 0.009 eV per atom
* total moment: 0.0 μB/f.u.

***

(14)
Entry from Alexandria: a relaxed structure of Ce6InSn5 (PBE-GGA).

a b c (Å): 4.911 8.999 8.999
angles (deg): 109.97 105.84 105.84
Element x y z (fractional)
Ce 0.251 0.084 0.419
Sn 0.500 0.162 0.838
In 0.000 0.000 0.000
Sn 0.500 0.838 0.162
Ce 0.749 0.581 0.916
Sn 0.000 0.332 0.668
Sn 0.500 0.500 0.500
Sn 0.000 0.668 0.332
Ce 0.753 0.253 0.253
Ce 0.251 0.419 0.084
Ce 0.749 0.916 0.581
Ce 0.247 0.747 0.747

* DFT formation energy: -0.557 eV per atom
* total moment: 5.2 μB/f.u.